Record 1
Compound: ScTaAu2
Source: Alexandria
Functional: PBE
Structure: relaxed

The structure in POSCAR format:
```
ScTaAu2
1.0
7.567 0.000 0.000
0.000 7.567 0.000
3.783 3.783 2.846
Sc Au Ta
2 4 2
direct
0.250 0.750 0.500
0.500 0.500 0.000
0.875 0.893 0.750
0.643 0.125 0.250
0.375 0.357 0.750
0.107 0.625 0.250
0.000 0.000 0.000
0.750 0.250 0.500
```

Computed properties:
For the formation energy, the calculation gives 3.36 kcal/mol of atoms. The density of states at the Fermi level is 1.31 states/eV/atom. The space group is No. 122. The polymorph energy (0 for the lowest one) comes out at 464 meV per atom.



Record 2
Compound: ScTaAu2
Source: Alexandria
Functional: PBE
Structure: relaxed

The structure in POSCAR format:
```
ScTaAu2
1.0
-3.610 0.220 3.015
-2.560 -3.850 0.893
0.307 -2.110 4.198
Ta Au Sc
1 2 1
direct
0.250 0.250 0.250
0.000 0.000 0.000
0.750 0.750 0.750
0.500 0.500 0.500
```

Computed properties:
For the formation energy, the calculation gives 0.05 kcal/mol of atoms. The density of states at the Fermi level is 1.00 states/eV/atom. The space group is No. 216. The polymorph energy (0 for the lowest one) comes out at 321 meV per atom.



Record 3
Compound: ScTa3Au
Source: Alexandria
Functional: PBE
Structure: relaxed

The structure in POSCAR format:
```
ScTa3Au
1.0
4.975 0.000 0.000
0.000 4.975 0.000
0.000 0.000 4.975
Sc Au Ta
1 1 3
direct
0.500 0.500 0.500
0.000 0.000 0.000
0.000 0.500 0.000
0.500 0.000 0.000
0.000 0.000 0.500
```

Computed properties:
For the formation energy, the calculation gives 34.00 kcal/mol of atoms. The density of states at the Fermi level is 1.80 states/eV/atom. The space group is No. 221. The polymorph energy (0 for the lowest one) comes out at 0 meV per atom.



Record 4
Compound: ScTaAu2
Source: Alexandria
Functional: PBE
Structure: relaxed

The structure in POSCAR format:
```
ScTaAu2
1.0
-3.952 0.681 2.748
-4.139 -2.029 1.544
1.895 -2.288 4.852
Au Ta Sc
2 1 1
direct
0.999 0.999 0.012
0.501 0.501 0.488
0.250 0.250 0.250
0.750 0.750 0.750
```

Computed properties:
For the formation energy, the calculation gives -1.76 kcal/mol of atoms. The density of states at the Fermi level is 0.98 states/eV/atom. The space group is No. 12. The polymorph energy (0 for the lowest one) comes out at 242 meV per atom.



Record 5
Compound: ScTaAu2
Source: Alexandria
Functional: PBE
Structure: relaxed

The structure in POSCAR format:
```
ScTaAu2
1.0
4.935 0.000 0.000
0.000 4.935 0.000
0.000 0.000 3.072
Sc Au Ta
1 2 1
direct
0.500 0.000 0.500
0.000 0.000 0.000
0.500 0.500 0.000
0.000 0.500 0.500
```

Computed properties:
For the formation energy, the calculation gives -6.03 kcal/mol of atoms. The density of states at the Fermi level is 1.29 states/eV/atom. The space group is No. 123. The polymorph energy (0 for the lowest one) comes out at 57 meV per atom.



Record 6
Compound: ScTaAu2
Source: Alexandria
Functional: PBE
Structure: relaxed

The structure in POSCAR format:
```
ScTaAu2
1.0
5.322 0.004 0.000
2.215 4.839 0.000
-3.769 -2.422 2.874
Sc Au Ta
1 2 1
direct
0.500 0.500 0.000
0.250 0.750 0.500
0.000 0.000 0.000
0.750 0.250 0.500
```

Computed properties:
For the formation energy, the calculation gives -3.36 kcal/mol of atoms. The density of states at the Fermi level is 1.19 states/eV/atom. The space group is No. 119. The polymorph energy (0 for the lowest one) comes out at 173 meV per atom.



Record 7
Compound: ScTaAu2
Source: Alexandria
Functional: PBE
Structure: relaxed

The structure in POSCAR format:
```
ScTaAu2
1.0
-1.499 2.908 4.755
-1.559 -2.875 4.756
4.033 1.189 -3.955
Au Ta Sc
2 1 1
direct
0.999 0.999 0.000
0.242 0.742 0.500
0.760 0.260 0.500
0.499 0.499 0.000
```

Computed properties:
For the formation energy, the calculation gives -4.10 kcal/mol of atoms. The density of states at the Fermi level is 1.05 states/eV/atom. The space group is No. 44. The polymorph energy (0 for the lowest one) comes out at 140 meV per atom.



Record 8
Compound: Sc2TaAu2
Source: Alexandria
Functional: PBE
Structure: relaxed

The structure in POSCAR format:
```
Sc2TaAu2
1.0
-6.156 -4.223 1.873
4.372 -4.319 4.632
-0.647 2.070 2.541
Ta Au Sc
2 4 4
direct
0.500 0.500 0.000
0.000 0.000 0.000
0.633 0.133 0.000
0.367 0.867 0.000
0.133 0.367 0.000
0.867 0.633 0.000
0.667 0.833 0.500
0.333 0.167 0.500
0.833 0.333 0.500
0.167 0.667 0.500
```

Computed properties:
For the formation energy, the calculation gives -7.73 kcal/mol of atoms. The density of states at the Fermi level is 0.76 states/eV/atom. The space group is No. 127. The polymorph energy (0 for the lowest one) comes out at 0 meV per atom.